(1)
DFT (PBEsol) results for an optimized crystal structure of OsSeBr2.

abc: 3.050 4.515 5.450
angles: 90.00 90.00 90.00
Each line ends with the local moment (μB).
Element x y z (fractional)
Br: 0.500 0.000 0.500  0.03
Os: 0.500 0.500 0.000  0.44
Br: 0.000 0.000 0.000  0.03
Se: 0.000 0.500 0.500  -0.01

Calculated values
- Mass density: 9.5 g/cm³
- Total DFT energy (no corrections): -3.77 eV/atom
- Space-group type: Pmmm, No. 47
- Fermi-level density of states: 4.60 states/eV/f.u.
- Energy above the most stable polymorph in this dataset: 988.5 meV/atom

***

(2)
DFT (PBEsol) results for an optimized crystal structure of OsSeBr2.

abc: 3.119 4.906 6.313
angles: 112.87 104.30 90.00
Element x y z (fractional)
Br: 0.999 0.999 0.998
Os: 0.489 0.489 0.977
Se: 0.828 0.328 0.657
Br: 0.184 0.684 0.368

Calculated values
- Mass density: 8.3 g/cm³
- Total DFT energy (no corrections): -4.53 eV/atom
- Space-group type: Imm2, No. 44
- Fermi-level density of states: 2.53 states/eV/f.u.
- Energy above the most stable polymorph in this dataset: 229.7 meV/atom

***

(3)
DFT (PBEsol) results for an optimized crystal structure of OsSeBr.

abc: 3.694 3.694 5.471
angles: 90.00 90.00 120.00
Element x y z (fractional)
Se: 0.667 0.333 0.439
Br: 0.000 0.000 0.921
Os: 0.333 0.667 0.640

Calculated values
- Mass density: 9.0 g/cm³
- Total DFT energy (no corrections): -5.82 eV/atom
- Space-group type: P3m1, No. 156
- Fermi-level density of states: 2.69 states/eV/f.u.

***

(4)
DFT (PBEsol) results for an optimized crystal structure of SiOsSeBr2.

abc: 4.670 5.037 5.037
angles: 90.00 90.00 90.00
Each line ends with the local moment (μB).
Element x y z (fractional)
Br: 0.000 0.500 0.000  0.00
Se: 0.500 0.000 0.000  -0.01
Br: 0.000 0.000 0.500  0.00
Os: 0.000 0.000 0.000  0.07
Si: 0.500 0.500 0.500  0.14

Calculated values
- Mass density: 6.4 g/cm³
- Total DFT energy (no corrections): -4.30 eV/atom
- Space-group type: P4/mmm, No. 123
- Fermi-level density of states: 5.38 states/eV/f.u.

***

(5)
DFT (PBEsol) results for an optimized crystal structure of TlOsSeBr2.

abc: 4.611 5.283 5.283
angles: 90.00 90.00 90.00
Element x y z (fractional)
Se: 0.500 0.000 0.000
Br: 0.000 0.000 0.500
Os: 0.000 0.000 0.000
Tl: 0.500 0.500 0.500
Br: 0.000 0.500 0.000

Calculated values
- Mass density: 8.2 g/cm³
- Total DFT energy (no corrections): -4.38 eV/atom
- Space-group type: P4/mmm, No. 123
- Fermi-level density of states: 3.20 states/eV/f.u.

***

(6)
DFT (PBEsol) results for an optimized crystal structure of OsWSeBr2.

abc: 4.675 5.028 5.028
angles: 90.00 90.00 90.00
Each line ends with the local moment (μB).
Element x y z (fractional)
Br: 0.000 0.500 0.000  -0.01
W: 0.500 0.500 0.500  3.30
Br: 0.000 0.000 0.500  -0.01
Se: 0.500 0.000 0.000  -0.08
Os: 0.000 0.000 0.000  -0.23

Calculated values
- Mass density: 8.6 g/cm³
- Total DFT energy (no corrections): -5.07 eV/atom
- Space-group type: P4/mmm, No. 123
- Fermi-level density of states: 5.81 states/eV/f.u.

***

| no. | ΔE_f (raw) (eV per formula unit) |
| --- | --- |
| 1 | 4.708 |
| 2 | 1.673 |
| 3 | 0.480 |
| 4 | 4.061 |
| 5 | 0.518 |
| 6 | 8.259 |